Entry 1:
Here is a relaxed structure of ZrRhCl3 from the Alexandria database. Energies are from PBE.

The structure in extended XYZ format:
```
5
Lattice="5.0099 0.0000 0.0000 0.0000 5.0099 0.0000 0.0000 0.0000 5.0099" Properties=species:S:1:pos:R:3 pbc="T T T"
Cl 2.5050 0.0000 0.0000
Zr 0.0000 0.0000 0.0000
Rh 2.5050 2.5050 2.5050
Cl 0.0000 2.5050 0.0000
Cl 0.0000 0.0000 2.5050
```

**Formation energy without anion corrections**: -0.2229 eV per atom
**Relative energy among the computed polymorphs**: 0 meV per atom

---

Entry 2:
Here is a relaxed structure of ZrRhCl2 from the Alexandria database. Energies are from PBE.

The structure in extended XYZ format:
```
4
Lattice="-2.2537 1.7664 -1.1973 -3.5295 -2.2845 3.2731 0.7907 3.0114 2.9545" Properties=species:S:1:pos:R:3 pbc="T T T"
Cl -2.8916 -0.2590 1.0379
Rh -0.7315 2.3889 0.8786
Zr -1.3694 0.3635 3.1138
Cl 0.0000 0.0000 0.0000
```

**Formation energy without anion corrections**: -0.3627 eV per atom
**Relative energy among the computed polymorphs**: 579 meV per atom

---

Entry 3:
Here is a relaxed structure of ZrRhCl2 from the Alexandria database. Energies are from PBE.

The structure in extended XYZ format:
```
4
Lattice="4.6593 0.0000 0.0000 2.3296 4.0351 0.0000 2.3296 1.3450 3.8043" Properties=species:S:1:pos:R:3 pbc="T T T"
Zr 2.3296 1.3450 0.9511
Cl 6.9889 4.0351 2.8532
Rh 4.6593 2.6900 1.9021
Cl 0.0000 0.0000 0.0000
```

**Formation energy without anion corrections**: -0.3133 eV per atom
**Relative energy among the computed polymorphs**: 628 meV per atom

---

Entry 4:
Here is a relaxed structure of ZrRhCl2 from the Alexandria database. Energies are from PBE.

The structure in extended XYZ format:
```
4
Lattice="-2.9837 -1.7938 2.9221 -0.0954 -3.8301 -2.4454 3.9625 1.6338 1.5125" Properties=species:S:1:pos:R:3 pbc="T T T"
Rh 1.1638 -2.5041 -0.3472
Cl 0.0000 0.0000 0.0000
Cl -1.5395 -2.8119 0.2384
Zr -0.2803 -1.4860 2.3365
```

**Formation energy without anion corrections**: -0.2441 eV per atom
**Relative energy among the computed polymorphs**: 697 meV per atom

---

Entry 5:
Here is a relaxed structure of ZrRh3Cl from the Alexandria database. Energies are from PBE.

The structure in extended XYZ format:
```
5
Lattice="-1.7022 2.0748 3.5303 -4.0519 -1.4059 -1.1274 0.5917 -3.6584 2.4354" Properties=species:S:1:pos:R:3 pbc="T T T"
Cl 0.0000 0.0000 0.0000
Rh 0.2958 -1.8292 1.2177
Rh -0.8511 1.0374 1.7651
Rh -2.0259 -0.7029 -0.5637
Zr -2.5812 -1.4947 2.4192
```

**Formation energy without anion corrections**: 0.3335 eV per atom
**Relative energy among the computed polymorphs**: 0 meV per atom

---

Entry 6:
Here is a relaxed structure of ZrRhCl2 from the Alexandria database. Energies are from PBE.

The structure in extended XYZ format:
```
4
Lattice="3.2688 0.0000 0.0000 0.0000 3.2677 0.0000 0.0000 0.0000 6.2617" Properties=species:S:1:pos:R:3 pbc="T T T"
Rh 1.6344 1.6338 1.5654
Cl 0.0000 0.0000 3.2285
Zr 1.6344 1.6338 4.6963
Cl 0.0000 0.0000 6.1641
```

**Formation energy without anion corrections**: -0.2603 eV per atom
**Relative energy among the computed polymorphs**: 681 meV per atom

---

Entry 7:
Here is a relaxed structure of Zr3RhCl from the Alexandria database. Energies are from PBE.

The structure in extended XYZ format:
```
5
Lattice="-1.2605 -4.0260 -2.1034 4.5383 -1.0240 -0.7596 0.1919 -2.2281 4.1498" Properties=species:S:1:pos:R:3 pbc="T T T"
Cl 0.0000 0.0000 0.0000
Zr -0.6302 -2.0130 -1.0517
Zr 0.0959 -1.1140 2.0749
Zr 2.2691 -0.5120 -0.3798
Rh 1.7349 -3.6390 0.6434
```

**Formation energy without anion corrections**: 0.0321 eV per atom
**Relative energy among the computed polymorphs**: 0 meV per atom

---

Entry 8:
Here is a relaxed structure of ZrRhCl from the Alexandria database. Energies are from PBE.

The structure in extended XYZ format:
```
3
Lattice="6.6697 0.0245 -0.0256 5.9014 3.1072 -0.0028 0.7683 0.1670 3.0783" Properties=species:S:1:pos:R:3 pbc="T T T"
Zr 4.5855 1.1258 2.0735
Rh 9.1122 2.2628 0.8820
Cl 12.2127 3.0416 0.0659
```

**Formation energy without anion corrections**: -0.6944 eV per atom
**Relative energy among the computed polymorphs**: 69 meV per atom